5
Lattice="3.5778 0.0000 0.0000 0.0000 3.5778 0.0000 0.0000 0.0000 5.2551" Properties=species:S:1:pos:R:3 comment="MnRhSeN2 (GGA-PBE, optimized geometry)" total_magnetization_mub_per_atom=0.000 pbc="T T T"
Mn 0.0000 0.0000 0.0000
Rh 1.7889 1.7889 2.6276
Se 0.0000 0.0000 2.6276
N 0.0000 1.7889 0.0000
N 1.7889 0.0000 0.0000


5
Lattice="4.8462 0.0000 0.0000 0.0000 4.8462 0.0000 0.0000 0.0000 3.3945" Properties=species:S:1:pos:R:3 comment="MnRhSe2N (GGA-PBE, optimized geometry)" total_magnetization_mub_per_atom=0.282 pbc="T T T"
Mn 0.0000 0.0000 0.0000
Rh 2.4231 2.4231 1.6972
Se 0.0000 2.4231 0.0000
Se 2.4231 0.0000 0.0000
N 0.0000 0.0000 1.6972


5
Lattice="5.1422 0.0000 0.0000 0.0000 5.1422 0.0000 0.0000 0.0000 3.6299" Properties=species:S:1:pos:R:3 comment="MnRhSe2N (GGA-PBE, optimized geometry)" total_magnetization_mub_per_atom=0.952 pbc="T T T"
Mn 0.0000 0.0000 0.0000
Rh 2.5711 2.5711 1.8150
Se 0.0000 2.5711 1.8150
Se 2.5711 0.0000 1.8150
N 2.5711 2.5711 0.0000


5
Lattice="4.8097 0.0000 0.0000 0.0000 4.8097 0.0000 0.0000 0.0000 3.9143" Properties=species:S:1:pos:R:3 comment="TaMnRh2N (GGA-PBE, optimized geometry)" total_magnetization_mub_per_atom=0.022 pbc="T T T"
Ta 0.0000 0.0000 0.0000
Mn 2.4048 2.4048 1.9571
Rh 0.0000 2.4048 0.0000
Rh 2.4048 0.0000 0.0000
N 0.0000 0.0000 1.9571


5
Lattice="3.8840 0.0000 0.0000 0.0000 3.8840 0.0000 0.0000 0.0000 4.2108" Properties=species:S:1:pos:R:3 comment="TaMn2RhN (GGA-PBE, optimized geometry)" total_magnetization_mub_per_atom=1.014 pbc="T T T"
Ta 0.0000 0.0000 0.0000
Mn 0.0000 1.9420 2.1054
Mn 1.9420 0.0000 2.1054
Rh 1.9420 1.9420 0.0000
N 0.0000 0.0000 2.1054


5
Lattice="5.1691 0.0000 0.0000 0.0000 5.1691 0.0000 0.0000 0.0000 3.4045" Properties=species:S:1:pos:R:3 comment="MnTe2RhN (GGA-PBE, optimized geometry)" total_magnetization_mub_per_atom=0.241 pbc="T T T"
Mn 0.0000 0.0000 0.0000
Te 0.0000 2.5846 0.0000
Te 2.5846 0.0000 0.0000
Rh 2.5846 2.5846 1.7023
N 0.0000 0.0000 1.7023


5
Lattice="5.4967 0.0000 0.0000 0.0000 5.4967 0.0000 0.0000 0.0000 3.6520" Properties=species:S:1:pos:R:3 comment="MnTe2RhN (GGA-PBE, optimized geometry)" total_magnetization_mub_per_atom=0.877 pbc="T T T"
Mn 0.0000 0.0000 0.0000
Te 0.0000 2.7484 1.8260
Te 2.7484 0.0000 1.8260
Rh 2.7484 2.7484 1.8260
N 2.7484 2.7484 0.0000


5
Lattice="3.6478 0.0000 0.0000 0.0000 3.6478 0.0000 0.0000 0.0000 5.6323" Properties=species:S:1:pos:R:3 comment="MnTeRhN2 (GGA-PBE, optimized geometry)" total_magnetization_mub_per_atom=0.074 pbc="T T T"
Mn 0.0000 0.0000 0.0000
Te 0.0000 0.0000 2.8162
Rh 1.8239 1.8239 2.8162
N 0.0000 1.8239 0.0000
N 1.8239 0.0000 0.0000


5
Lattice="3.8611 0.0000 0.0000 0.0000 3.8611 0.0000 0.0000 0.0000 5.8083" Properties=species:S:1:pos:R:3 comment="MnTeRhN2 (GGA-PBE, optimized geometry)" total_magnetization_mub_per_atom=0.958 pbc="T T T"
Mn 0.0000 0.0000 0.0000
Te 1.9305 1.9305 0.0000
Rh 1.9305 1.9305 2.9041
N 0.0000 1.9305 2.9041
N 1.9305 0.0000 2.9041


5
Lattice="3.8970 0.0000 0.0000 0.0000 3.8970 0.0000 0.0000 0.0000 4.0576" Properties=species:S:1:pos:R:3 comment="Mn2RhWN (GGA-PBE, optimized geometry)" total_magnetization_mub_per_atom=0.915 pbc="T T T"
Mn 0.0000 1.9485 0.0000
Mn 1.9485 0.0000 0.0000
Rh 0.0000 0.0000 2.0288
W 1.9485 1.9485 2.0288
N 1.9485 1.9485 0.0000


5
Lattice="4.0863 0.0000 0.0000 0.0000 4.0863 0.0000 0.0000 0.0000 3.8282" Properties=species:S:1:pos:R:3 comment="MnRhW2N (GGA-PBE, optimized geometry)" total_magnetization_mub_per_atom=0.000 pbc="T T T"
Mn 0.0000 0.0000 0.0000
Rh 2.0431 2.0431 0.0000
W 0.0000 2.0431 1.9141
W 2.0431 0.0000 1.9141
N 0.0000 0.0000 1.9141


5
Lattice="4.1223 0.0000 0.0000 0.0000 4.1223 0.0000 0.0000 0.0000 3.7809" Properties=species:S:1:pos:R:3 comment="MnZnRh2N (GGA-PBE, optimized geometry)" total_magnetization_mub_per_atom=0.587 pbc="T T T"
Mn 0.0000 0.0000 0.0000
Zn 2.0611 2.0611 0.0000
Rh 0.0000 2.0611 1.8904
Rh 2.0611 0.0000 1.8904
N 0.0000 0.0000 1.8904


8
Lattice="-2.3899 2.3899 4.5135 2.3899 -2.3899 4.5135 2.3899 2.3899 -4.5135" Properties=species:S:1:pos:R:3 comment="Mn2RuN (GGA-PBE, optimized geometry)" total_magnetization_mub_per_atom=0.097 pbc="T T T"
Mn 3.5848 0.7892 -1.1284
Mn 0.7892 1.1949 1.1284
Mn -1.1949 1.6007 3.3851
Mn 1.6007 1.1949 5.6419
Ru 2.3899 0.0000 2.2568
Ru 0.0000 0.0000 4.5135
N 0.0000 0.0000 0.0000
N 0.0000 2.3899 2.2568


5
Lattice="3.6257 0.0000 0.0000 0.0000 3.6257 0.0000 0.0000 0.0000 3.6257" Properties=species:S:1:pos:R:3 comment="MnRuN3 (GGA-PBE, optimized geometry)" total_magnetization_mub_per_atom=0.000 pbc="T T T"
Mn 0.0000 0.0000 0.0000
Ru 1.8129 1.8129 1.8129
N 0.0000 0.0000 1.8129
N 0.0000 1.8129 0.0000
N 1.8129 0.0000 0.0000


5
Lattice="4.7538 0.0000 0.0000 0.0000 4.7538 0.0000 0.0000 0.0000 4.7538" Properties=species:S:1:pos:R:3 comment="Mn3RuN (GGA-PBE, optimized geometry)" total_magnetization_mub_per_atom=2.178 pbc="T T T"
Mn 0.0000 0.0000 2.3769
Mn 0.0000 2.3769 0.0000
Mn 2.3769 0.0000 0.0000
Ru 0.0000 0.0000 0.0000
N 2.3769 2.3769 2.3769


5
Lattice="3.7936 0.0000 0.0000 0.0000 3.7936 0.0000 0.0000 0.0000 3.7936" Properties=species:S:1:pos:R:3 comment="MnRuN3 (GGA-PBE, optimized geometry)" total_magnetization_mub_per_atom=0.000 pbc="T T T"
Mn 0.0000 0.0000 0.0000
Ru 1.8968 1.8968 1.8968
N 0.0000 1.8968 1.8968
N 1.8968 0.0000 1.8968
N 1.8968 1.8968 0.0000


24
Lattice="2.8486 -5.5547 0.0000 2.8486 5.5547 0.0000 -0.1752 0.0000 7.7099" Properties=species:S:1:pos:R:3 comment="Mn2RuN3 (GGA-PBE, optimized geometry)" total_magnetization_mub_per_atom=0.108 pbc="T T T"
Mn 1.9188 3.3254 4.8624
Mn 1.5908 1.7153 6.8088
Mn 3.5155 3.3254 6.7024
Mn 1.6784 -1.7153 2.9538
Mn 3.8435 1.7153 4.7560
Mn 2.0064 -3.3254 1.0075
Mn 3.9311 -1.7153 0.9011
Mn 3.6031 -3.3254 2.8475
Ru 0.9886 0.1234 4.9009
Ru 1.0763 -0.1234 1.0459
Ru 4.4456 0.1234 6.6639
Ru 4.5332 -0.1234 2.8090
N 0.9946 1.8785 0.9946
N 2.8048 4.0617 1.9275
N 2.0538 1.6530 3.9245
N 0.9070 -1.8785 4.8495
N 2.7171 0.5222 5.7824
N 3.3805 1.6530 7.6403
N 2.1414 -1.6530 0.0696
N 2.8048 -0.5222 1.9275
N 4.6149 1.8785 2.8604
N 3.4681 -1.6530 3.7854
N 2.7171 -4.0617 5.7824
N 4.5273 -1.8785 6.7153


12
Lattice="4.3933 -2.7583 0.0000 4.3933 2.7583 0.0000 0.0000 0.0000 4.9216" Properties=species:S:1:pos:R:3 comment="Mn2RuN3 (GGA-PBE, optimized geometry)" total_magnetization_mub_per_atom=0.000 pbc="T T T"
Mn 2.8241 1.6171 2.4608
Mn 5.9626 1.6171 2.4608
Mn 2.8241 -1.6171 0.0000
Mn 5.9626 -1.6171 0.0000
Ru 4.3933 0.7842 4.5402
Ru 4.3933 -0.7842 2.0794
N 1.4548 0.6009 1.7773
N 1.4548 -0.6009 4.2381
N 4.3933 1.1666 1.5823
N 4.3933 -1.1666 4.0431
N 7.3318 0.6009 1.7773
N 7.3318 -0.6009 4.2381


4
Lattice="1.3796 0.7965 6.4583 -1.3796 0.7965 6.4583 0.0000 -1.5930 6.4583" Properties=species:S:1:pos:R:3 comment="Mn2RuN (GGA-PBE, optimized geometry)" total_magnetization_mub_per_atom=0.740 pbc="T T T"
Mn 0.0000 0.0000 0.0000
Mn 0.0000 0.0000 4.1953
Ru 0.0000 0.0000 8.6026
N 0.0000 0.0000 11.7525


4
Lattice="1.3927 0.8041 6.5351 -1.3927 0.8041 6.5351 0.0000 -1.6081 6.5351" Properties=species:S:1:pos:R:3 comment="Mn2RuN (GGA-PBE, optimized geometry)" total_magnetization_mub_per_atom=1.188 pbc="T T T"
Mn 0.0000 0.0000 4.4002
Mn 0.0000 0.0000 15.2052
Ru 0.0000 0.0000 0.0000
N 0.0000 0.0000 9.8027


5
Lattice="3.7547 0.0000 0.0000 0.0000 3.7547 0.0000 0.0000 0.0000 3.7547" Properties=species:S:1:pos:R:3 comment="Mn3RuN (GGA-PBE, optimized geometry)" total_magnetization_mub_per_atom=0.000 pbc="T T T"
Mn 0.0000 0.0000 1.8774
Mn 0.0000 1.8774 0.0000
Mn 1.8774 0.0000 0.0000
Ru 1.8774 1.8774 1.8774
N 0.0000 0.0000 0.0000


5
Lattice="3.7883 0.0000 0.0000 0.0000 3.7883 0.0000 0.0000 0.0000 5.4453" Properties=species:S:1:pos:R:3 comment="MnRuSeN2 (GGA-PBE, optimized geometry)" total_magnetization_mub_per_atom=0.891 pbc="T T T"
Mn 0.0000 0.0000 0.0000
Ru 1.8942 1.8942 2.7227
Se 1.8942 1.8942 0.0000
N 0.0000 1.8942 2.7227
N 1.8942 0.0000 2.7227


5
Lattice="5.0948 0.0000 0.0000 0.0000 5.0948 0.0000 0.0000 0.0000 3.6418" Properties=species:S:1:pos:R:3 comment="MnRuSe2N (GGA-PBE, optimized geometry)" total_magnetization_mub_per_atom=0.812 pbc="T T T"
Mn 0.0000 0.0000 0.0000
Ru 2.5474 2.5474 1.8209
Se 0.0000 2.5474 1.8209
Se 2.5474 0.0000 1.8209
N 2.5474 2.5474 0.0000


5
Lattice="3.5768 0.0000 0.0000 0.0000 3.5768 0.0000 0.0000 0.0000 5.2251" Properties=species:S:1:pos:R:3 comment="MnRuSeN2 (GGA-PBE, optimized geometry)" total_magnetization_mub_per_atom=0.087 pbc="T T T"
Mn 0.0000 0.0000 0.0000
Ru 1.7884 1.7884 2.6126
Se 0.0000 0.0000 2.6126
N 0.0000 1.7884 0.0000
N 1.7884 0.0000 0.0000


5
Lattice="4.8361 0.0000 0.0000 0.0000 4.8361 0.0000 0.0000 0.0000 3.3804" Properties=species:S:1:pos:R:3 comment="MnRuSe2N (GGA-PBE, optimized geometry)" total_magnetization_mub_per_atom=0.227 pbc="T T T"
Mn 0.0000 0.0000 0.0000
Ru 2.4181 2.4181 1.6902
Se 0.0000 2.4181 0.0000
Se 2.4181 0.0000 0.0000
N 0.0000 0.0000 1.6902


5
Lattice="4.1564 0.0000 0.0000 0.0000 4.1564 0.0000 0.0000 0.0000 3.9052" Properties=species:S:1:pos:R:3 comment="MnSnRu2N (GGA-PBE, optimized geometry)" total_magnetization_mub_per_atom=0.540 pbc="T T T"
Mn 0.0000 0.0000 0.0000
Sn 2.0782 2.0782 0.0000
Ru 0.0000 2.0782 1.9526
Ru 2.0782 0.0000 1.9526
N 0.0000 0.0000 1.9526


5
Lattice="3.8861 0.0000 0.0000 0.0000 3.8861 0.0000 0.0000 0.0000 4.2117" Properties=species:S:1:pos:R:3 comment="Mn2SnRuN (GGA-PBE, optimized geometry)" total_magnetization_mub_per_atom=0.640 pbc="T T T"
Mn 0.0000 1.9431 0.0000
Mn 1.9431 0.0000 0.0000
Sn 0.0000 0.0000 2.1058
Ru 1.9431 1.9431 2.1058
N 1.9431 1.9431 0.0000


In order of appearance, energy relative to the elements, uncorrected = 0.7116; 0.3616; 0.4427; 1.3311; -0.4233; 0.2837; 0.4774; 0.7503; 1.0574; -0.1727; -0.0989; -0.1244; 0.3183; 1.2066; 2.0630; 1.6772; 0.1496; -0.0426; -0.1194; -0.0981; -0.0560; 0.6740; 0.4035; 0.9266; 0.5607; 0.0245; -0.0579 eV per atom.